This record from Alexandria via LeMat-Bulk describes crystalline Pr2Y6Ho3Mg at its relaxed geometry. The functional is GGA-PBE.

As for the density of states at the Fermi level: 18.65 states/eV/f.u. For the formation energy, the calculation gives 0.26 eV/f.u. The calculation puts the total energy at -0.1942 Ha/atom.

The space group is C2/m (No. 12) and the conventional cell measures 6.161, 10.678 and 11.810 Å, with angles of 90.00, 100.07 and 90.00 degrees. The asymmetric unit holds Pr at (0.000, 0.166, 0.000), Y at (0.247, 0.500, 0.747), Y at (0.249, 0.335, 0.252), Ho at (0.000, 0.000, 0.500), Ho at (0.000, 0.335, 0.500) and Mg at (0.000, 0.500, 0.000).